Here is a relaxed LiTlF2 crystal from Alexandria via LeMat-Bulk. Energies are from PBE-GGA.

Crystal system: tetragonal
Excess energy over the best structure of this formula in the dataset (meV per atom): 0
D(E_F) (states/eV/f.u.): 0.00
E (eV per atom): -4.313

Geometry as CIF:
```
data_LiTlF2
_space_group_name_H-M_alt 'P 4/n m m'
_space_group_IT_number 129
_cell_length_a 3.931
_cell_length_b 3.931
_cell_length_c 8.000
_cell_angle_alpha 90.00
_cell_angle_beta 90.00
_cell_angle_gamma 90.00
loop_
_space_group_symop_operation_xyz
'x,y,z'
'-x,-y,-z'
'-y+1/2,x,z'
'y+1/2,-x,-z'
'-x+1/2,-y+1/2,z'
'x+1/2,y+1/2,-z'
'y,-x+1/2,z'
'-y,x+1/2,-z'
'x+1/2,-y,-z'
'-x+1/2,y,z'
'-y,-x,-z'
'y,x,z'
'-x,y+1/2,-z'
'x,-y+1/2,z'
'y+1/2,x+1/2,-z'
'-y+1/2,-x+1/2,z'
loop_
_atom_site_label
_atom_site_type_symbol
_atom_site_fract_x
_atom_site_fract_y
_atom_site_fract_z
_atom_site_occupancy
Li1 Li 0.250 0.250 0.070 1
Tl1 Tl 0.250 0.250 0.680 1
F1 F 0.250 0.250 0.315 1
F2 F 0.250 0.750 0.000 1
```